No. 1
Density functional theory data (PBE) for crystalline Sr2CeAgS5 at its relaxed geometry.

The structure belongs to space group Cmc2_1 (No. 36); the cell edges are 4.0637, 17.5614 and 12.3785 Å and the angles 90.00°, 90.00° and 90.00°. The inequivalent atoms are Sr at (0.0000, 0.1127, 0.0000), Sr at (0.0000, 0.1248, 0.6359), Ce at (0.0000, 0.2024, 0.3306), Ag at (0.0000, 0.4568, 0.7681), S at (0.0000, 0.0471, 0.3806), S at (0.0000, 0.2906, 0.9794), S at (0.0000, 0.3079, 0.6813), S at (0.0000, 0.3548, 0.3205) and S at (0.0000, 0.4970, 0.0828).

As for the crystal system: orthorhombic. As for the uncorrected formation energy: -143 kJ per mole of atoms.



No. 2
Density functional theory data (PBE) for crystalline Tl2CoHg at its relaxed geometry.

The structure belongs to space group P4/mmm (No. 123); the cell edges are 4.9213, 4.9213 and 3.7836 Å and the angles 90.00°, 90.00° and 90.00°. The inequivalent atoms are Tl at (0.0000, 0.5000, 0.0000), Co at (0.0000, 0.0000, 0.5000) and Hg at (0.5000, 0.5000, 0.5000).

As for the crystal system: tetragonal. The excess energy over the best structure of this formula in the dataset is 250.2 meV per atom. The energy of formation comes out at 0.56 eV per atom.



No. 3
Density functional theory data (PBE) for crystalline FeCoW2 at its relaxed geometry.

The structure belongs to space group Fm-3m (No. 225); the cell edges are 6.0032, 6.0032 and 6.0032 Å and the angles 90.00°, 90.00° and 90.00°. The inequivalent atoms are Fe at (0.0000, 0.0000, 0.0000), Co at (0.0000, 0.0000, 0.5000) and W at (0.2500, 0.2500, 0.2500).

As for the crystal system: cubic. The excess energy over the best structure of this formula in the dataset is 183.3 meV per atom. The energy of formation comes out at 0.28 eV per atom.



Calculated values (eV for the cell shown) of electronic total energy for the records, taken in order: -184.55 -9.91 -161.39.
Calculated values (μB/f.u.) of spin magnetization for the records, taken in order: 0.00 1.69 1.94.